Version A
Here is a geometry-optimized Rb3BaCu structure from Alexandria. Energies are from PBE.

```
Rb3BaCu
1.0
6.9109 0.0000 0.0000
0.0000 6.9109 0.0000
0.0000 0.0000 6.9109
Ba Rb Cu
1 3 1
direct
0.5000 0.5000 0.5000
0.5000 0.0000 0.0000
0.0000 0.0000 0.5000
0.0000 0.5000 0.0000
0.0000 0.0000 0.0000
```

Values from the calculation:
DOS(E_F): 6.00 states/eV/cell
mass density: 2.3 g/cm³

Version B
Here is a geometry-optimized Rb3BaCu structure from Alexandria. Energies are from PBE.

```
Rb3BaCu
1.0
-0.9816 -7.0787 -4.9473
8.6268 -0.5710 -0.8946
0.4035 -5.0113 7.0903
Rb Cu Ba
3 1 1
direct
0.0000 0.5000 0.0000
0.5000 0.0000 0.0000
0.0000 0.0000 0.5000
0.5000 0.5000 0.5000
0.0000 0.0000 0.0000
```

Values from the calculation:
DOS(E_F): 1.12 states/eV/cell
mass density: 1.2 g/cm³

Least stable structure: version B